Entry 1:
## Fe2W8C3N3 (PBE)

Data for a relaxed structure of Fe2W8C3N3.

Properties
* crystal system: trigonal
* mass density: 15.0 g/cm³
* raw total energy: -10.52 eV per atom

a b c (Å): 2.935 2.935 24.640
angles (deg): 90.00 90.00 120.00
Fractional coordinates of all 16 atoms:
N (0.667, 0.333, 0.383)
C (0.333, 0.667, 0.889)
W (0.333, 0.667, 0.441)
W (0.667, 0.333, 0.945)
Fe (0.667, 0.333, 0.754)
W (0.000, 0.000, 0.161)
W (0.000, 0.000, 0.673)
C (0.667, 0.333, 0.111)
W (0.000, 0.000, 0.327)
N (0.000, 0.000, 0.500)
Fe (0.333, 0.667, 0.246)
W (0.667, 0.333, 0.559)
N (0.333, 0.667, 0.617)
W (0.333, 0.667, 0.055)
W (0.000, 0.000, 0.839)
C (0.000, 0.000, 0.000)

=====

Entry 2:
## GdHfAsO (PBE)

Data for a relaxed structure of GdHfAsO.

Properties
* polymorph energy (0 for the lowest one): 18.7 kJ per mole of atoms
* crystal system: orthorhombic
* mass density: 8.2 g/cm³

a b c (Å): 3.998 7.420 5.848
angles (deg): 90.00 90.00 90.00
Fractional coordinates of all 8 atoms:
Hf (0.500, 0.606, 0.501)
O (0.500, 0.650, 0.854)
As (0.000, 0.164, 0.948)
Gd (0.000, 0.776, 0.952)
O (0.500, 0.350, 0.354)
Hf (0.500, 0.394, 0.001)
Gd (0.000, 0.224, 0.452)
As (0.000, 0.836, 0.448)

=====

Entry 3:
## CsAgB (PBE)

Data for a relaxed structure of CsAgB.

Properties
* polymorph energy (0 for the lowest one): 13.5 kJ per mole of atoms
* crystal system: cubic
* mass density: 4.2 g/cm³

a b c (Å): 5.220 5.220 5.220
angles (deg): 60.00 60.00 60.00
Fractional coordinates of all 3 atoms:
Cs (0.750, 0.750, 0.750)
B (0.250, 0.250, 0.250)
Ag (0.000, 0.000, 0.000)

=====

Entry 4:
## Re4O5 (PBE)

Data for a relaxed structure of Re4O5.

Properties
* crystal system: tetragonal
* mass density: 15.0 g/cm³
* raw total energy: -8.42 eV per atom

a b c (Å): 8.716 3.234 3.234
angles (deg): 90.00 90.00 90.00
Fractional coordinates of all 9 atoms:
Re (0.830, 0.500, 0.500)
Re (0.500, 0.000, 0.000)
O (0.316, 0.000, 0.500)
Re (0.000, 0.000, 0.000)
O (0.316, 0.500, 0.000)
Re (0.170, 0.500, 0.500)
O (0.684, 0.000, 0.500)
O (0.500, 0.500, 0.500)
O (0.684, 0.500, 0.000)

=====

Entry 5:
## K2CoWN4 (PBE)

Data for a relaxed structure of K2CoWN4.

Properties
* crystal system: tetragonal
* mass density: 4.8 g/cm³
* raw total energy: -7.07 eV per atom

a b c (Å): 5.711 5.711 5.711
angles (deg): 120.38 120.38 89.34
Fractional coordinates of all 8 atoms:
N (0.024, 0.877, 0.659)
N (0.218, 0.365, 0.341)
N (0.123, 0.782, 0.147)
N (0.635, 0.976, 0.853)
W (0.250, 0.750, 0.500)
K (0.750, 0.250, 0.500)
Co (0.000, 0.000, 0.000)
K (0.500, 0.500, 0.000)

=====

Entry 6:
## SiGePd (PBE)

Data for a relaxed structure of SiGePd.

Properties
* crystal system: cubic
* mass density: 6.5 g/cm³
* raw total energy: -5.25 eV per atom

a b c (Å): 4.211 4.211 4.211
angles (deg): 60.00 60.00 60.00
Fractional coordinates of all 3 atoms:
Si (0.750, 0.750, 0.750)
Ge (0.250, 0.250, 0.250)
Pd (0.000, 0.000, 0.000)

=====

Entry 7:
## Ho2S (PBE)

Data for a relaxed structure of Ho2S.

Properties
* crystal system: tetragonal
* mass density: 7.7 g/cm³
* raw total energy: -5.65 eV per atom

a b c (Å): 6.370 6.370 3.868
angles (deg): 90.00 90.00 90.00
Fractional coordinates of all 6 atoms:
Ho (0.206, 0.794, 0.500)
Ho (0.794, 0.206, 0.500)
S (0.000, 0.000, 0.000)
Ho (0.294, 0.294, 0.000)
S (0.500, 0.500, 0.500)
Ho (0.706, 0.706, 0.000)

=====

Entry 8:
## NaCdCoW (PBE)

Data for a relaxed structure of NaCdCoW.

Properties
* polymorph energy (0 for the lowest one): 0.0 kJ per mole of atoms
* crystal system: cubic
* mass density: 10.3 g/cm³

a b c (Å): 4.422 4.422 4.422
angles (deg): 60.00 60.00 60.00
Fractional coordinates of all 4 atoms:
Cd (0.000, 0.000, 0.000)
Co (0.250, 0.250, 0.250)
Na (0.750, 0.750, 0.750)
W (0.500, 0.500, 0.500)

=====

Entry 9:
## Li2PdAu (PBE)

Data for a relaxed structure of Li2PdAu.

Properties
* polymorph energy (0 for the lowest one): 3.6 kJ per mole of atoms
* crystal system: tetragonal
* mass density: 9.2 g/cm³

a b c (Å): 2.858 2.858 6.992
angles (deg): 90.00 90.00 90.00
Fractional coordinates of all 4 atoms:
Au (0.000, 0.000, 0.000)
Li (0.500, 0.500, 0.739)
Li (0.500, 0.500, 0.261)
Pd (0.000, 0.000, 0.500)

=====

Entry 10:
## MgSiTcAs (PBE)

Data for a relaxed structure of MgSiTcAs.

Properties
* polymorph energy (0 for the lowest one): 0.0 kJ per mole of atoms
* crystal system: cubic
* mass density: 6.1 g/cm³

a b c (Å): 4.427 4.427 4.427
angles (deg): 60.00 60.00 60.00
Fractional coordinates of all 4 atoms:
Tc (0.250, 0.250, 0.250)
Si (0.000, 0.000, 0.000)
Mg (0.750, 0.750, 0.750)
As (0.500, 0.500, 0.500)

=====

Entry 11:
## GdTlO3 (PBE)

Data for a relaxed structure of GdTlO3.

Properties
* crystal system: trigonal
* mass density: 8.9 g/cm³
* raw total energy: -6.37 eV per atom

a b c (Å): 6.077 6.077 6.077
angles (deg): 58.35 58.35 58.35
Fractional coordinates of all 10 atoms:
O (0.108, 0.750, 0.392)
O (0.892, 0.250, 0.608)
O (0.608, 0.892, 0.250)
O (0.250, 0.608, 0.892)
O (0.392, 0.108, 0.750)
Tl (0.750, 0.750, 0.750)
O (0.750, 0.392, 0.108)
Tl (0.250, 0.250, 0.250)
Gd (0.000, 0.000, 0.000)
Gd (0.500, 0.500, 0.500)

=====

Entry 12:
## Hf3OsS (PBE)

Data for a relaxed structure of Hf3OsS.

Properties
* crystal system: cubic
* mass density: 12.6 g/cm³
* raw total energy: -9.11 eV per atom

a b c (Å): 4.641 4.641 4.641
angles (deg): 90.00 90.00 90.00
Fractional coordinates of all 5 atoms:
Hf (0.500, 0.000, 0.500)
Hf (0.000, 0.500, 0.500)
S (0.500, 0.500, 0.500)
Os (0.000, 0.000, 0.000)
Hf (0.500, 0.500, 0.000)

=====

- Which of these has the lowest mass density?
  CsAgB

=====

- Which formula does entry 7 have?
  Ho2S

=====

- mass density of number 7 (Ho2S)?
  7.7 g/cm³